Here is a geometry-optimized SbTe2RuBr structure from Alexandria. Energies are from PBE-GGA.

The space group is P4/mmm (123). The uncorrected formation energy is 1.81 eV/f.u. For the energy above the most stable polymorph in this dataset, the calculation gives 0.00 eV per formula unit. The total energy comes out at -3.909 eV/atom.

Lattice parameters (Å, degrees): 5.2284 5.2284 5.2369 90.00 90.00 90.00
Closest atoms and distances in Å follow each position.
Element x y z (fractional)
Sb  0.0000  0.0000  0.5000  2 Ru 2.62
Te  0.0000  0.5000  0.0000  2 Ru 2.61
Te  0.5000  0.0000  0.0000  2 Ru 2.61
Br  0.5000  0.5000  0.5000  4 Sb 3.70, 8 Te 3.70
Ru  0.0000  0.0000  0.0000  4 Te 2.61, 2 Sb 2.62